{"formula": "Sm5HgSb2", "functional": "PBE-GGA", "state": "optimized geometry", "lattice_angstrom": [[5.915, 0.000, 0.000], [-2.958, 5.835, 0.000], [0.000, 0.000, 14.896]], "species": ["Sm", "Sm", "Sm", "Sm", "Sm", "Hg", "Sm", "Sm", "Sb", "Hg", "Sm", "Sm", "Sb", "Sm", "Sb", "Sb"], "frac_coords": [[0.621, 0.242, 0.945], [0.379, 0.758, 0.445], [0.926, 0.852, 0.895], [0.621, 0.242, 0.555], [0.381, 0.762, 0.750], [0.695, 0.391, 0.750], [0.619, 0.238, 0.250], [0.074, 0.148, 0.105], [0.804, 0.607, 0.401], [0.305, 0.609, 0.250], [0.074, 0.148, 0.395], [0.926, 0.852, 0.605], [0.196, 0.393, 0.599], [0.379, 0.758, 0.055], [0.804, 0.607, 0.099], [0.196, 0.393, 0.901]]}


{"formula": "Sm2HgSb", "functional": "PBE-GGA", "state": "optimized geometry", "lattice_angstrom": [[-0.428, 1.469, 5.165], [-4.855, 0.916, 2.146], [-2.038, -3.433, 3.616]], "species": ["Sm", "Sm", "Sb", "Hg"], "frac_coords": [[0.250, 0.250, 0.250], [0.750, 0.750, 0.750], [0.500, 0.500, 0.500], [0.000, 0.000, 0.000]]}


{"formula": "Sm5HgSb4", "functional": "PBE-GGA", "state": "optimized geometry", "lattice_angstrom": [[-3.019, 3.138, 0.972], [-1.204, -2.285, 3.638], [12.929, 7.357, 6.163]], "species": ["Sm", "Sb", "Sb", "Sm", "Sb", "Sm", "Sm", "Hg", "Sb", "Sm"], "frac_coords": [[0.897, 0.897, 0.793], [0.401, 0.401, 0.803], [0.599, 0.599, 0.197], [0.700, 0.700, 0.400], [0.800, 0.800, 0.599], [0.103, 0.103, 0.207], [0.300, 0.300, 0.600], [0.000, 0.000, 0.000], [0.200, 0.200, 0.401], [0.500, 0.500, 0.000]]}


{"formula": "Sm2HgSb", "functional": "PBE-GGA", "state": "optimized geometry", "lattice_angstrom": [[4.651, 0.000, 0.000], [0.000, 4.173, -0.741], [0.000, 0.063, 12.471]], "species": ["Sm", "Sb", "Sm", "Sb", "Sm", "Hg", "Sm", "Hg"], "frac_coords": [[0.250, 0.316, 0.633], [0.750, 0.811, 0.622], [0.250, 0.065, 0.129], [0.250, 0.189, 0.378], [0.750, 0.684, 0.367], [0.250, 0.457, 0.914], [0.750, 0.935, 0.871], [0.750, 0.543, 0.086]]}


{"formula": "SmHg2Sb", "functional": "PBE-GGA", "state": "optimized geometry", "lattice_angstrom": [[3.433, 0.000, 0.000], [1.717, 2.973, 0.000], [1.717, 0.991, 11.575]], "species": ["Hg", "Hg", "Sb", "Sm"], "frac_coords": [[0.911, 0.911, 0.266], [0.089, 0.089, 0.734], [0.500, 0.500, 0.500], [0.000, 0.000, 0.000]]}


{"formula": "Sm5HgSb4", "functional": "PBE-GGA", "state": "optimized geometry", "lattice_angstrom": [[-4.486, -1.434, 4.191], [-2.023, -7.466, 0.022], [2.715, -2.046, 6.948]], "species": ["Sb", "Sm", "Hg", "Sb", "Sb", "Sm", "Sm", "Sb", "Sm", "Sm"], "frac_coords": [[0.400, 0.400, 0.803], [0.692, 0.204, 0.414], [0.002, 0.000, 0.000], [0.800, 0.803, 0.600], [0.602, 0.600, 0.197], [0.896, 0.414, 0.796], [0.106, 0.586, 0.204], [0.202, 0.197, 0.400], [0.310, 0.796, 0.586], [0.502, 0.000, 0.000]]}


{"formula": "TbSmHgSb", "functional": "PBE-GGA", "state": "optimized geometry", "lattice_angstrom": [[-2.008, 3.595, -3.418], [-4.079, 3.124, 1.494], [0.798, 5.225, 0.837]], "species": ["Sm", "Hg", "Tb", "Sb"], "frac_coords": [[0.250, 0.250, 0.250], [0.500, 0.500, 0.500], [0.750, 0.750, 0.750], [0.000, 0.000, 0.000]]}


{"formula": "SmThHgSb", "functional": "PBE-GGA", "state": "optimized geometry", "lattice_angstrom": [[5.420, 0.000, 0.000], [2.710, 4.694, 0.000], [2.710, 1.565, 4.425]], "species": ["Th", "Sb", "Hg", "Sm"], "frac_coords": [[0.750, 0.750, 0.750], [0.500, 0.500, 0.500], [0.000, 0.000, 0.000], [0.250, 0.250, 0.250]]}


{"formula": "SnHgSb", "functional": "PBE-GGA", "state": "optimized geometry", "lattice_angstrom": [[4.449, 0.000, 0.000], [0.000, 5.555, -4.483], [0.000, -1.731, 9.314]], "species": ["Hg", "Sb", "Sb", "Sn", "Hg", "Sn"], "frac_coords": [[0.750, 0.771, 0.246], [0.250, 0.083, 0.247], [0.750, 0.917, 0.753], [0.750, 0.363, 0.254], [0.250, 0.229, 0.754], [0.250, 0.637, 0.746]]}


{"formula": "Sn2Hg2Sb", "functional": "PBE-GGA", "state": "optimized geometry", "lattice_angstrom": [[6.702, 1.031, 1.193], [4.110, 4.508, 1.622], [1.388, 1.848, 5.948]], "species": ["Sb", "Sn", "Sn", "Hg", "Hg"], "frac_coords": [[0.000, 0.000, 0.000], [0.591, 0.609, 0.204], [0.409, 0.391, 0.796], [0.805, 0.793, 0.597], [0.195, 0.207, 0.403]]}


{"formula": "SnHgSb", "functional": "PBE-GGA", "state": "optimized geometry", "lattice_angstrom": [[-2.825, -4.001, 1.513], [1.943, -4.739, -0.220], [1.186, -2.488, 4.323]], "species": ["Hg", "Sb", "Sn"], "frac_coords": [[0.500, 0.500, 0.500], [0.000, 0.000, 0.000], [0.250, 0.250, 0.250]]}


{"formula": "Sn2HgSb3", "functional": "PBE-GGA", "state": "optimized geometry", "lattice_angstrom": [[7.969, 0.062, -1.250], [-4.269, 6.729, -1.250], [0.159, 0.292, 8.258]], "species": ["Sn", "Sb", "Sb", "Hg", "Sn", "Sb", "Sb", "Sn", "Sn", "Hg", "Sb", "Sb"], "frac_coords": [[0.260, 0.753, 0.009], [0.213, 0.047, 0.880], [0.388, 0.885, 0.376], [0.939, 0.110, 0.021], [0.582, 0.419, 0.008], [0.047, 0.213, 0.380], [0.731, 0.567, 0.377], [0.419, 0.582, 0.508], [0.753, 0.260, 0.509], [0.110, 0.939, 0.521], [0.567, 0.731, 0.877], [0.885, 0.388, 0.876]]}


{"formula": "Sn2HgSb", "functional": "PBE-GGA", "state": "optimized geometry", "lattice_angstrom": [[0.000, 3.794, 3.794], [3.794, 0.000, 3.794], [3.794, 3.794, 0.000]], "species": ["Sn", "Sb", "Sn", "Hg"], "frac_coords": [[0.250, 0.250, 0.250], [0.000, 0.000, 0.000], [0.750, 0.750, 0.750], [0.500, 0.500, 0.500]]}


{"formula": "SnHg2Sb2", "functional": "PBE-GGA", "state": "optimized geometry", "lattice_angstrom": [[-1.722, 8.654, 0.190], [-8.594, -1.733, 1.024], [0.411, 0.006, 3.456]], "species": ["Sb", "Sb", "Sb", "Sn", "Hg", "Hg", "Sn", "Hg", "Sb", "Hg"], "frac_coords": [[0.835, 0.335, 0.500], [0.665, 0.835, 0.500], [0.165, 0.665, 0.500], [0.000, 0.000, 0.000], [0.134, 0.366, 0.000], [0.866, 0.634, 0.000], [0.500, 0.500, 0.000], [0.634, 0.134, 0.000], [0.335, 0.165, 0.500], [0.366, 0.866, 0.000]]}


{"formula": "Sn2HgSb", "functional": "PBE-GGA", "state": "optimized geometry", "lattice_angstrom": [[-3.025, 2.366, 0.415], [-2.259, -3.029, 0.806], [1.559, 0.740, 7.151]], "species": ["Hg", "Sb", "Sn", "Sn"], "frac_coords": [[0.500, 0.500, 0.500], [0.500, 0.500, 0.000], [0.000, 0.000, 0.237], [0.000, 0.000, 0.763]]}


{"formula": "Sn2Hg2Sb", "functional": "PBE-GGA", "state": "optimized geometry", "lattice_angstrom": [[8.981, 0.000, 0.000], [0.000, 8.981, 0.000], [0.000, 0.000, 3.406]], "species": ["Hg", "Sn", "Hg", "Hg", "Sn", "Sn", "Hg", "Sb", "Sb", "Sn"], "frac_coords": [[0.382, 0.118, 0.500], [0.687, 0.187, 0.000], [0.882, 0.382, 0.500], [0.118, 0.618, 0.500], [0.313, 0.813, 0.000], [0.813, 0.687, 0.000], [0.618, 0.882, 0.500], [0.000, 0.000, 0.000], [0.500, 0.500, 0.000], [0.187, 0.313, 0.000]]}


{"formula": "SnHgSb3", "functional": "PBE-GGA", "state": "optimized geometry", "lattice_angstrom": [[-4.835, 2.746, -1.333], [-3.053, -4.334, 2.142], [0.018, 2.523, 5.131]], "species": ["Hg", "Sn", "Sb", "Sb", "Sb"], "frac_coords": [[0.500, 0.500, 0.500], [0.000, 0.000, 0.000], [0.500, 0.000, 0.000], [0.000, 0.500, 0.000], [0.000, 0.000, 0.500]]}


{"formula": "Sn5Hg3Sb12", "functional": "PBE-GGA", "state": "optimized geometry", "lattice_angstrom": [[-9.450, 9.720, 7.362], [8.335, -7.875, 10.320], [9.443, 7.997, -9.212]], "species": ["Sb", "Hg", "Sb", "Sb", "Sb", "Sb", "Sb", "Sb", "Sn", "Hg", "Sb", "Hg", "Sb", "Sb", "Sb", "Sb", "Sb", "Sb", "Sn", "Hg", "Sb", "Sb", "Sn", "Sn", "Sb", "Sb", "Sn", "Hg", "Sn", "Sb", "Sb", "Sb", "Hg", "Sb", "Hg", "Sb", "Sn", "Sn", "Sb", "Sb", "Hg", "Sb", "Hg", "Sn", "Sb", "Sb", "Sb", "Sn", "Sn", "Sb", "Sb", "Sb", "Sb", "Hg", "Hg", "Sb", "Sb", "Sn", "Sn", "Sn", "Hg", "Sb", "Sb", "Sb", "Sb", "Sb", "Sn", "Sb", "Sn", "Sn", "Sb", "Sb", "Sb", "Sb", "Sn", "Sn", "Sb", "Sn", "Sb", "Sb"], "frac_coords": [[0.863, 0.049, 0.596], [0.375, 0.625, 0.250], [0.233, 0.547, 0.596], [0.596, 0.047, 0.233], [0.951, 0.137, 0.904], [0.686, 0.453, 0.549], [0.233, 0.686, 0.137], [0.137, 0.951, 0.404], [0.750, 0.125, 0.875], [0.125, 0.875, 0.750], [0.547, 0.233, 0.096], [0.875, 0.125, 0.250], [0.814, 0.863, 0.267], [0.186, 0.137, 0.733], [0.951, 0.814, 0.547], [0.186, 0.049, 0.953], [0.137, 0.186, 0.233], [0.549, 0.953, 0.686], [0.625, 0.750, 0.875], [0.875, 0.750, 0.125], [0.451, 0.404, 0.637], [0.953, 0.404, 0.267], [0.250, 0.375, 0.625], [0.500, 0.000, 0.500], [0.767, 0.453, 0.404], [0.767, 0.314, 0.863], [0.125, 0.375, 0.250], [0.375, 0.750, 0.625], [0.000, 0.000, 0.500], [0.814, 0.951, 0.047], [0.314, 0.767, 0.363], [0.451, 0.047, 0.314], [0.625, 0.250, 0.375], [0.404, 0.451, 0.137], [0.625, 0.375, 0.750], [0.047, 0.596, 0.733], [0.125, 0.750, 0.375], [0.625, 0.875, 0.250], [0.363, 0.267, 0.314], [0.363, 0.096, 0.549], [0.125, 0.250, 0.875], [0.637, 0.904, 0.451], [0.750, 0.875, 0.625], [0.000, 0.000, 0.000], [0.686, 0.233, 0.637], [0.453, 0.767, 0.904], [0.453, 0.686, 0.049], [0.250, 0.875, 0.125], [0.000, 0.500, 0.500], [0.863, 0.814, 0.767], [0.953, 0.549, 0.186], [0.404, 0.953, 0.767], [0.547, 0.314, 0.951], [0.750, 0.375, 0.125], [0.250, 0.125, 0.375], [0.049, 0.186, 0.453], [0.096, 0.733, 0.547], [0.500, 0.500, 0.000], [0.750, 0.625, 0.375], [0.000, 0.500, 0.000], [0.250, 0.625, 0.875], [0.549, 0.596, 0.363], [0.596, 0.549, 0.863], [0.637, 0.733, 0.686], [0.096, 0.363, 0.049], [0.904, 0.267, 0.453], [0.500, 0.500, 0.500], [0.047, 0.451, 0.814], [0.500, 0.000, 0.000], [0.375, 0.250, 0.125], [0.049, 0.863, 0.096], [0.904, 0.637, 0.951], [0.267, 0.904, 0.953], [0.733, 0.096, 0.047], [0.875, 0.250, 0.625], [0.875, 0.625, 0.750], [0.314, 0.547, 0.451], [0.375, 0.125, 0.750], [0.267, 0.363, 0.814], [0.733, 0.637, 0.186]]}


{"formula": "SnHg2Sb", "functional": "PBE-GGA", "state": "optimized geometry", "lattice_angstrom": [[-3.809, 3.038, -1.388], [-0.186, -2.094, -4.073], [-3.016, -3.011, 1.686]], "species": ["Sn", "Sb", "Hg", "Hg"], "frac_coords": [[0.500, 0.500, 0.500], [0.500, 0.000, 0.000], [0.000, 0.000, 0.500], [0.000, 0.500, 0.000]]}


{"formula": "SnHg2Sb", "functional": "PBE-GGA", "state": "optimized geometry", "lattice_angstrom": [[-1.232, -8.111, 1.232], [4.949, 0.259, 6.654], [-0.630, -3.271, 5.768]], "species": ["Hg", "Hg", "Hg", "Sb", "Hg", "Sn", "Sb", "Sn"], "frac_coords": [[0.121, 0.625, 0.250], [0.875, 0.879, 0.750], [0.629, 0.125, 0.250], [0.000, 0.000, 0.000], [0.375, 0.371, 0.750], [0.250, 0.750, 0.500], [0.750, 0.250, 0.500], [0.500, 0.500, 0.000]]}


{"formula": "SnHg2Sb", "functional": "PBE-GGA", "state": "optimized geometry", "lattice_angstrom": [[6.037, 0.000, 0.000], [-3.019, 3.393, 0.375], [0.000, 1.586, 5.805]], "species": ["Hg", "Sb", "Sn", "Hg"], "frac_coords": [[0.887, 0.775, 0.048], [0.386, 0.773, 0.692], [0.851, 0.702, 0.562], [0.375, 0.750, 0.198]]}


{"formula": "Sn2Hg2Sb3", "functional": "PBE-GGA", "state": "optimized geometry", "lattice_angstrom": [[4.230, 0.000, -1.199], [-1.364, 6.812, -4.809], [0.209, -1.506, 8.797]], "species": ["Sb", "Sn", "Sn", "Sb", "Hg", "Sb", "Hg"], "frac_coords": [[0.633, 0.658, 0.266], [0.130, 0.882, 0.260], [0.870, 0.118, 0.740], [0.367, 0.342, 0.734], [0.338, 0.665, 0.675], [0.000, 0.000, 0.000], [0.662, 0.335, 0.325]]}


Number 1: E_form (uncorrected) -0.4157 eV/atom. Number 2: E_form (uncorrected) -0.6568 eV/atom. Number 3: E_form (uncorrected) -0.9851 eV/atom. Number 4: E_form (uncorrected) -0.7717 eV/atom. Number 5: E_form (uncorrected) 0.1374 eV/atom. Number 6: E_form (uncorrected) -0.9767 eV/atom. Number 7: E_form (uncorrected) -0.6356 eV/atom. Number 8: E_form (uncorrected) -0.5232 eV/atom. Number 9: E_form (uncorrected) 0.0561 eV/atom. Number 10: E_form (uncorrected) 0.0623 eV/atom. Number 11: E_form (uncorrected) 0.1409 eV/atom. Number 12: E_form (uncorrected) 0.0747 eV/atom. Number 13: E_form (uncorrected) 0.0997 eV/atom. Number 14: E_form (uncorrected) 0.2144 eV/atom. Number 15: E_form (uncorrected) 0.0677 eV/atom. Number 16: E_form (uncorrected) 0.1166 eV/atom. Number 17: E_form (uncorrected) 0.7288 eV/atom. Number 18: E_form (uncorrected) 0.2070 eV/atom. Number 19: E_form (uncorrected) 0.1283 eV/atom. Number 20: E_form (uncorrected) 0.1132 eV/atom. Number 21: E_form (uncorrected) 0.0405 eV/atom. Number 22: E_form (uncorrected) 0.1035 eV/atom.